[1]
Sb2HIrPb | PBE | optimized geometry

The space group is P4/mmm (No. 123) and the conventional cell measures 5.023, 5.023 and 5.928 Å, with angles of 90.00, 90.00 and 90.00 degrees. The distinct sites, in fractional coordinates, are Sb at (0.000, 0.500, 0.000), H at (0.000, 0.000, 0.500), Ir at (0.500, 0.500, 0.000) and Pb at (0.500, 0.500, 0.500).

For the spin magnetization, the calculation gives 0.00 μB per atom. For the total energy, the calculation gives -4.0584 eV per atom.

[2]
Be2InGa2 | PBE | optimized geometry

The space group is I4/mmm (No. 139) and the conventional cell measures 3.827, 3.827 and 10.913 Å, with angles of 90.00, 90.00 and 90.00 degrees. The distinct sites, in fractional coordinates, are Be at (0.000, 0.500, 0.250), In at (0.000, 0.000, 0.000) and Ga at (0.000, 0.000, 0.381).

The calculation puts the energy relative to the elements at 132 kJ/mol of formula units. The relative energy among the computed polymorphs is 0 meV/atom. For the spin magnetization, the calculation gives 0.00 μB per atom. For the total energy, the calculation gives -2.9745 eV per atom.

[3]
TlH12N3 | PBE | optimized geometry

The space group is R3c (No. 161, hexagonal axes) and the conventional cell measures 8.2291, 8.2291 and 20.2523 Å, with angles of 90.00, 90.00 and 120.00 degrees. The distinct sites, in fractional coordinates, are Tl at (0.0000, 0.0000, 0.0000), H at (0.0062, 0.5006, 0.0523), H at (0.0238, 0.2665, 0.3167), H at (0.0295, 0.2670, 0.8165), H at (0.1952, 0.0946, 0.6487) and N at (0.0004, 0.4975, 0.0002).

For the spin magnetization, the calculation gives 0.00 μB per atom. For the total energy, the calculation gives -4.2231 eV per atom.

[4]
RbNa3As | PBE | optimized geometry

The space group is Pm-3m (No. 221) and the conventional cell measures 5.810, 5.810 and 5.810 Å, with angles of 90.00, 90.00 and 90.00 degrees. The distinct sites, in fractional coordinates, are Rb at (0.000, 0.000, 0.000), Na at (0.000, 0.500, 0.500) and As at (0.500, 0.500, 0.500).

The calculation puts the energy relative to the elements at -109 kJ/mol of formula units. The relative energy among the computed polymorphs is 12 meV/atom. For the spin magnetization, the calculation gives 0.00 μB per atom. For the total energy, the calculation gives -2.1411 eV per atom.

[5]
DyPuRhPb | PBE | optimized geometry

The space group is P4mm (No. 99) and the conventional cell measures 3.390, 3.390 and 8.462 Å, with angles of 90.00, 90.00 and 90.00 degrees. The distinct sites, in fractional coordinates, are Dy at (0.000, 0.000, 0.000), Pu at (0.000, 0.000, 0.586), Rh at (0.500, 0.500, 0.803) and Pb at (0.500, 0.500, 0.292).

The calculation puts the energy relative to the elements at -180 kJ/mol of formula units. The relative energy among the computed polymorphs is 0 meV/atom. For the spin magnetization, the calculation gives 1.41 μB per atom. For the total energy, the calculation gives -7.9650 eV per atom.

[6]
TbCeNiGe | PBE | optimized geometry

The space group is F-43m (No. 216) and the conventional cell measures 7.063, 7.063 and 7.063 Å, with angles of 90.00, 90.00 and 90.00 degrees. The distinct sites, in fractional coordinates, are Tb at (0.000, 0.000, 0.000), Ce at (0.000, 0.000, 0.500), Ni at (0.250, 0.250, 0.750) and Ge at (0.250, 0.250, 0.250).

The calculation puts the energy relative to the elements at -167 kJ/mol of formula units. For the spin magnetization, the calculation gives 0.23 μB per atom. For the total energy, the calculation gives -5.6722 eV per atom.

Please write out number 6 again, unchanged.
TbCeNiGe | PBE | optimized geometry

The space group is F-43m (No. 216) and the conventional cell measures 7.063, 7.063 and 7.063 Å, with angles of 90.00, 90.00 and 90.00 degrees. The distinct sites, in fractional coordinates, are Tb at (0.000, 0.000, 0.000), Ce at (0.000, 0.000, 0.500), Ni at (0.250, 0.250, 0.750) and Ge at (0.250, 0.250, 0.250).

The calculation puts the energy relative to the elements at -167 kJ/mol of formula units. For the spin magnetization, the calculation gives 0.23 μB per atom. For the total energy, the calculation gives -5.6722 eV per atom.

- What is the formula in the sixth record?
  TbCeNiGe